Record 1
First-principles (GGA-PBE) data for crystalline TlW2Br at its relaxed geometry, as listed in the Alexandria database.

Results
Uncorrected energy = -6.184 eV/atom
Offset from the most stable computed form = 857 meV per atom
Crystal system = monoclinic
E_form (uncorrected) = 1.30 eV per atom

CIF file:
```
data_TlW2Br
_chemical_formula_sum 'Tl2 W4 Br2'
_symmetry_space_group_name_H-M 'C 1 2/m 1'
_symmetry_Int_Tables_number 12
_symmetry_space_group_name_Hall '-C 2y'
_cell_length_a 5.6699
_cell_length_b 10.5812
_cell_length_c 3.2886
_cell_angle_alpha 90.00
_cell_angle_beta 125.18
_cell_angle_gamma 90.00
loop_
_atom_site_label
_atom_site_type_symbol
_atom_site_fract_x
_atom_site_fract_y
_atom_site_fract_z
Tl1 Tl 0.0000 0.0000 0.0000
W1 W 0.2500 0.2500 0.0000
Br1 Br 0.0000 0.5000 0.0000
```

***

Record 2
First-principles (GGA-PBE) data for crystalline TlW2Br at its relaxed geometry, as listed in the Alexandria database.

Results
Uncorrected energy = -5.788 eV/atom
Offset from the most stable computed form = 1252 meV per atom
Crystal system = tetragonal
E_form (uncorrected) = 1.70 eV per atom

CIF file:
```
data_TlW2Br
_chemical_formula_sum 'Tl1 W2 Br1'
_symmetry_space_group_name_H-M 'P 4/m m m'
_symmetry_Int_Tables_number 123
_symmetry_space_group_name_Hall '-P 4 2'
_cell_length_a 4.0934
_cell_length_b 4.0934
_cell_length_c 4.7059
_cell_angle_alpha 90.00
_cell_angle_beta 90.00
_cell_angle_gamma 90.00
loop_
_atom_site_label
_atom_site_type_symbol
_atom_site_fract_x
_atom_site_fract_y
_atom_site_fract_z
Tl1 Tl 0.0000 0.0000 0.0000
W1 W 0.0000 0.5000 0.5000
Br1 Br 0.5000 0.5000 0.0000
```

***

> Look up the E_form (uncorrected) of the first one.

1.30 eV per atom

***

> Among the records above, which one has the highest offset from the most stable computed form?

number 2